# 1
A plane-wave DFT calculation with GGA-PBE was carried out for a geometry-optimized La3BeZn structure.

Values from the calculation:
* ΔH_f (0 K): 335.8 meV/atom
* space-group type: Pm-3m (221)

Lattice parameters (Å, degrees): 5.407 5.407 5.407 90.00 90.00 90.00
Atoms (fractional coordinates):
La: 0.000 0.000 0.500
La: 0.000 0.500 0.000
La: 0.500 0.000 0.000
Be: 0.000 0.000 0.000
Zn: 0.500 0.500 0.500

# 2
A plane-wave DFT calculation with GGA-PBE was carried out for a geometry-optimized MgGa2Ag6 structure.

Values from the calculation:
* ΔH_f (0 K): -58.5 meV/atom
* space-group type: C2/m (12)

Lattice parameters (Å, degrees): 5.112 5.112 8.595 110.93 110.93 50.54
Atoms (fractional coordinates):
Mg: 0.000 0.000 0.000
Ga: 0.328 0.328 0.759
Ga: 0.672 0.672 0.241
Ag: 0.008 0.008 0.672
Ag: 0.329 0.329 0.436
Ag: 0.343 0.343 0.096
Ag: 0.657 0.657 0.904
Ag: 0.671 0.671 0.564
Ag: 0.992 0.992 0.328

# 3
A plane-wave DFT calculation with GGA-PBE was carried out for a geometry-optimized TbPrSi structure.

Values from the calculation:
* space-group type: F-43m (216)
* energy relative to the elements, uncorrected: -1.3 eV per formula unit

Lattice parameters (Å, degrees): 4.973 4.973 4.973 60.00 60.00 60.00
Atoms (fractional coordinates):
Tb: 0.000 0.000 0.000
Pr: 0.500 0.500 0.500
Si: 0.750 0.750 0.750

# 4
A plane-wave DFT calculation with GGA-PBE was carried out for a geometry-optimized MgAlMo2 structure.

Values from the calculation:
* ΔH_f (0 K): 139.6 meV/atom
* space-group type: I4/mmm (139)

Lattice parameters (Å, degrees): 5.129 5.129 5.129 135.84 135.84 64.23
Atoms (fractional coordinates):
Mg: 0.000 0.000 0.000
Al: 0.500 0.500 0.000
Mo: 0.250 0.750 0.500
Mo: 0.750 0.250 0.500

# 5
A plane-wave DFT calculation with GGA-PBE was carried out for a geometry-optimized Tl4Sb3 structure.

Values from the calculation:
* space-group type: C2/m (12)
* energy relative to the elements, uncorrected: 0.2 eV per formula unit

Lattice parameters (Å, degrees): 14.582 14.582 3.903 97.41 97.41 15.39
Atoms (fractional coordinates):
Tl: 0.066 0.066 0.065
Tl: 0.350 0.350 0.351
Tl: 0.650 0.650 0.649
Tl: 0.934 0.934 0.935
Sb: 0.226 0.226 0.226
Sb: 0.500 0.500 0.500
Sb: 0.774 0.774 0.774

# 6
A plane-wave DFT calculation with GGA-PBE was carried out for a geometry-optimized Re3C structure.

Values from the calculation:
* ΔH_f (0 K): 356.5 meV/atom
* space-group type: R-3m (166)

Lattice parameters (Å, degrees): 7.486 7.486 7.486 21.83 21.83 21.83
Atoms (fractional coordinates):
Re: 0.000 0.000 0.000
Re: 0.230 0.230 0.230
Re: 0.770 0.770 0.770
C: 0.500 0.500 0.500

# 7
A plane-wave DFT calculation with GGA-PBE was carried out for a geometry-optimized TbGd2Hf structure.

Values from the calculation:
* ΔH_f (0 K): 115.4 meV/atom
* space-group type: P4/mmm (123)

Lattice parameters (Å, degrees): 3.418 3.418 9.932 90.00 90.00 90.00
Atoms (fractional coordinates):
Tb: 0.000 0.000 0.000
Gd: 0.500 0.500 0.270
Gd: 0.500 0.500 0.730
Hf: 0.000 0.000 0.500

# 8
A plane-wave DFT calculation with GGA-PBE was carried out for a geometry-optimized Dy2AlPt6 structure.

Values from the calculation:
* ΔH_f (0 K): -1094.1 meV/atom
* space-group type: C2/m (12)

Lattice parameters (Å, degrees): 5.585 5.585 6.258 102.09 102.09 60.35
Atoms (fractional coordinates):
Dy: 0.146 0.146 0.362
Dy: 0.854 0.854 0.638
Al: 0.500 0.500 0.500
Pt: 0.110 0.626 0.192
Pt: 0.374 0.890 0.808
Pt: 0.378 0.378 0.806
Pt: 0.622 0.622 0.194
Pt: 0.626 0.110 0.192
Pt: 0.890 0.374 0.808